Record 1
An optimized crystal structure of LaTaPt3, computed with GGA-PBE.

## Properties
Space-group type = Pm-3m, No. 221
Formation enthalpy at 0 K = -0.28 eV/atom
Calculated total energy = -36.31 eV per cell
Spin magnetization = 0.000 μB per cell
Energy above the lowest structure with this stoichiometry = 0 meV per atom

abc: 4.9465 4.9465 4.9465
angles: 90.00 90.00 90.00
With the nearest neighbours (Å) after each atom.
Fractional positions:
La (0.5000, 0.5000, 0.5000)  12 Pt 3.50
Pt (0.0000, 0.5000, 0.0000)  2 Ta 2.47
Pt (0.0000, 0.0000, 0.5000)  2 Ta 2.47
Pt (0.5000, 0.0000, 0.0000)  2 Ta 2.47
Ta (0.0000, 0.0000, 0.0000)  6 Pt 2.47

=====

Record 2
An optimized crystal structure of NiBr, computed with GGA-PBE.

## Properties
Space-group type = R-3m, No. 166
Formation energy without anion corrections = 0.25 eV/atom
Calculated total energy = -6.95 eV per cell
Spin magnetization = 0.931 μB per cell

abc: 3.6991 3.6991 3.6991
angles: 59.86 59.86 59.86
With the nearest neighbours (Å) after each atom.
Fractional positions:
Br (0.0000, 0.0000, 0.0000)  6 Ni 2.61
Ni (0.5000, 0.5000, 0.5000)  6 Br 2.61

=====

Record 3
An optimized crystal structure of RbNpScBr6, computed with GGA-PBE.

## Properties
Space-group type = P-31c, No. 163
Formation energy without anion corrections = -1.52 eV/atom
Calculated total energy = -87.89 eV per cell
Spin magnetization = 10.002 μB per cell

abc: 7.2751 7.2751 15.5309
angles: 90.00 90.00 120.00
With the nearest neighbours (Å) after each atom.
Fractional positions:
Rb (0.0000, 0.0000, 0.0000)  6 Br 3.49
Rb (0.0000, 0.0000, 0.5000)  6 Br 3.49
Np (0.3333, 0.6667, 0.2500)  6 Br 2.94
Np (0.6667, 0.3333, 0.7500)  6 Br 2.94
Sc (0.6667, 0.3333, 0.2500)  6 Br 2.73
Sc (0.3333, 0.6667, 0.7500)  6 Br 2.73
Br (0.6473, 0.6249, 0.1457)  1 Sc 2.73, 1 Np 2.94
Br (0.9775, 0.3527, 0.1457)  1 Sc 2.73, 1 Np 2.94
Br (0.3527, 0.9775, 0.6457)  1 Sc 2.73, 1 Np 2.94
Br (0.0225, 0.6473, 0.8543)  1 Sc 2.73, 1 Np 2.94
Br (0.3751, 0.3527, 0.3543)  1 Sc 2.73, 1 Np 2.94
Br (0.9775, 0.6249, 0.3543)  1 Sc 2.73, 1 Np 2.94
Br (0.6249, 0.9775, 0.8543)  1 Sc 2.73, 1 Np 2.94
Br (0.6473, 0.0225, 0.3543)  1 Sc 2.73, 1 Np 2.94
Br (0.0225, 0.3751, 0.6457)  1 Sc 2.73, 1 Np 2.94
Br (0.3751, 0.0225, 0.1457)  1 Sc 2.73, 1 Np 2.94
Br (0.6249, 0.6473, 0.6457)  1 Sc 2.73, 1 Np 2.94
Br (0.3527, 0.3751, 0.8543)  1 Sc 2.73, 1 Np 2.94

=====

Record 4
An optimized crystal structure of CaPuBr5, computed with GGA-PBE.

## Properties
Space-group type = C2/c, No. 15
Formation energy without anion corrections = -1.67 eV/atom
Calculated total energy = -72.72 eV per cell
Spin magnetization = 10.000 μB per cell

abc: 7.5712 7.5712 11.2644
angles: 104.72 109.47 97.24
With the nearest neighbours (Å) after each atom.
Fractional positions:
Ca (0.6722, 0.9222, 0.2500)  5 Br 2.84-3.01
Ca (0.3278, 0.0778, 0.7500)  5 Br 2.84-3.01
Pu (0.0000, 0.0000, 0.0000)  6 Br 2.84-2.98
Pu (0.0000, 0.5000, 0.5000)  6 Br 2.84-2.98
Br (0.2636, 0.8266, 0.1487)  1 Ca 2.84, 1 Pu 2.84
Br (0.2500, 0.8120, 0.4971)  1 Pu 2.85, 1 Ca 2.86
Br (0.3221, 0.3851, 0.6487)  1 Ca 2.84, 1 Pu 2.84
Br (0.9733, 0.2233, 0.2500)  2 Pu 2.98, 1 Ca 3.01
Br (0.3148, 0.2529, 0.0029)  1 Pu 2.85, 1 Ca 2.86
Br (0.6852, 0.7471, 0.9971)  1 Pu 2.85, 1 Ca 2.86
Br (0.0267, 0.7767, 0.7500)  2 Pu 2.98, 1 Ca 3.01
Br (0.6779, 0.6149, 0.3513)  1 Ca 2.84, 1 Pu 2.84
Br (0.7500, 0.1880, 0.5029)  1 Pu 2.85, 1 Ca 2.86
Br (0.7364, 0.1734, 0.8513)  1 Ca 2.84, 1 Pu 2.84

=====

Record 5
An optimized crystal structure of CaTiF5, computed with GGA-PBE.

## Properties
Space-group type = P2_1/c, No. 14
Formation energy without anion corrections = -3.58 eV/atom
Calculated total energy = -177.21 eV per cell
Spin magnetization = 4.000 μB per cell
Energy above the lowest structure with this stoichiometry = 13 meV per atom

abc: 10.3036 5.6145 7.7730
angles: 70.25 90.00 90.00
With the nearest neighbours (Å) after each atom.
Fractional positions:
Ca (0.0190, 0.5298, 0.7447)  6 F 2.23-2.44
Ca (0.5190, 0.4702, 0.7553)  6 F 2.23-2.44
Ca (0.9810, 0.4702, 0.2553)  6 F 2.23-2.44
Ca (0.4810, 0.5298, 0.2447)  6 F 2.23-2.44
Ti (0.7538, 0.1052, 0.5993)  6 F 1.93-2.03
Ti (0.2538, 0.8948, 0.9007)  6 F 1.93-2.03
Ti (0.2462, 0.8948, 0.4007)  6 F 1.93-2.03
Ti (0.7462, 0.1052, 0.0993)  6 F 1.93-2.03
F (0.8840, 0.3910, 0.5545)  1 Ti 2.03
F (0.3840, 0.6090, 0.9455)  1 Ti 2.03
F (0.1160, 0.6090, 0.4455)  1 Ti 2.03
F (0.6160, 0.3910, 0.0545)  1 Ti 2.03
F (0.6115, 0.3568, 0.5046)  1 Ti 2.00
F (0.1115, 0.6432, 0.9954)  1 Ti 2.00
F (0.3885, 0.6432, 0.4954)  1 Ti 2.00
F (0.8885, 0.3568, 0.0046)  1 Ti 2.00
F (0.3970, 0.1230, 0.8082)  1 Ti 1.93
F (0.8970, 0.8770, 0.6918)  1 Ti 1.93
F (0.6030, 0.8770, 0.1918)  1 Ti 1.93
F (0.1030, 0.1230, 0.3082)  1 Ti 1.93
F (0.1382, 0.1811, 0.8578)  1 Ti 1.94
F (0.6382, 0.8189, 0.6422)  1 Ti 1.94
F (0.8618, 0.8189, 0.1422)  1 Ti 1.94
F (0.3618, 0.1811, 0.3578)  1 Ti 1.94
F (0.7034, 0.1449, 0.8386)  2 Ti 2.01
F (0.2034, 0.8551, 0.6614)  2 Ti 2.01
F (0.2966, 0.8551, 0.1614)  2 Ti 2.01
F (0.7966, 0.1449, 0.3386)  2 Ti 2.01

=====

Record 6
An optimized crystal structure of Ac3Pm2Ag3, computed with GGA-PBE.

## Properties
Space-group type = Immm, No. 71
Formation enthalpy at 0 K = -0.18 eV/atom
Calculated total energy = -31.86 eV per cell
Spin magnetization = 0.000 μB per cell

abc: 3.9128 5.6640 12.0825
angles: 103.56 99.32 90.00
With the nearest neighbours (Å) after each atom.
Fractional positions:
Ac (0.3787, 0.3787, 0.7573)  6 Ag 3.42-3.44, 2 Pm 3.82
Ac (0.6213, 0.6213, 0.2427)  6 Ag 3.42-3.44, 2 Pm 3.82
Ac (0.5000, 0.0000, 0.0000)  8 Ag 3.44-3.48
Pm (0.2681, 0.7681, 0.5362)  2 Ag 3.17, 4 Pm 3.54
Pm (0.7319, 0.2319, 0.4638)  2 Ag 3.17, 4 Pm 3.54
Ag (0.8759, 0.8759, 0.7519)  2 Pm 3.17, 6 Ac 3.44-3.48
Ag (0.0000, 0.5000, 0.0000)  8 Ac 3.42-3.44
Ag (0.1241, 0.1241, 0.2481)  2 Pm 3.17, 6 Ac 3.44-3.48

=====

Record 7
An optimized crystal structure of LaY2Si, computed with GGA-PBE.

## Properties
Space-group type = R3m, No. 160
Formation energy without anion corrections = -0.12 eV/atom
Calculated total energy = -23.76 eV per cell
Spin magnetization = 0.000 μB per cell

abc: 10.3622 10.3622 10.3622
angles: 20.92 20.92 20.92
With the nearest neighbours (Å) after each atom.
Fractional positions:
La (0.4809, 0.4809, 0.4809)  3 Si 2.98
Si (0.7472, 0.7472, 0.7472)  3 Y 2.87, 3 La 2.98
Y (0.0187, 0.0187, 0.0187)  3 Si 2.87
Y (0.2532, 0.2532, 0.2532)  9 Y 3.71-3.76, 3 La 3.88

=====

Record 8
An optimized crystal structure of Pu2NbBi, computed with GGA-PBE.

## Properties
Space-group type = P4/mmm, No. 123
Formation enthalpy at 0 K = 0.04 eV/atom
Calculated total energy = -42.44 eV per cell
Spin magnetization = 9.900 μB per cell

abc: 4.7113 4.4849 4.4849
angles: 90.00 90.00 90.00
With the nearest neighbours (Å) after each atom.
Fractional positions:
Nb (0.5000, 0.0000, 0.0000)  4 Bi 3.17, 8 Pu 3.25
Bi (0.5000, 0.5000, 0.5000)  4 Nb 3.17, 8 Pu 3.25
Pu (0.0000, 0.0000, 0.5000)  4 Pu 3.17, 4 Bi 3.25, 4 Nb 3.25
Pu (0.0000, 0.5000, 0.0000)  4 Pu 3.17, 4 Bi 3.25, 4 Nb 3.25